Record 1
VASP calculation (PBE) on LuAlAgHg after structural relaxation.

The structure belongs to space group F-43m (No. 216); the cell edges are 6.876, 6.876 and 6.876 Å and the angles 90.00°, 90.00° and 90.00°. The inequivalent atoms are Lu at (0.000, 0.000, 0.000), Al at (0.000, 0.000, 0.500), Ag at (0.250, 0.250, 0.250) and Hg at (0.250, 0.250, 0.750).

For the size of the total moment, the calculation gives 0.000 μB/atom. The crystal system is cubic. The calculation puts the formation energy at -1.08 eV per formula unit.

Record 2
VASP calculation (PBE) on CaBeMo after structural relaxation.

The structure belongs to space group I4mm (No. 107); the cell edges are 2.863, 2.863 and 12.637 Å and the angles 90.00°, 90.00° and 90.00°. The inequivalent atoms are Ca at (0.000, 0.000, 0.000), Be at (0.000, 0.000, 0.677) and Mo at (0.000, 0.000, 0.297).

For the size of the total moment, the calculation gives 0.000 μB/atom. The crystal system is tetragonal. Its energy above the lowest structure with this stoichiometry is 0.0715 eV per atom. The calculation puts the formation energy at 1.78 eV per formula unit.

Record 3
VASP calculation (PBE) on ErNi12 after structural relaxation.

The structure belongs to space group Fm-3m (No. 225); the cell edges are 9.427, 9.427 and 9.427 Å and the angles 90.00°, 90.00° and 90.00°. The inequivalent atoms are Er at (0.000, 0.000, 0.000) and Ni at (0.000, 0.170, 0.330).

For the size of the total moment, the calculation gives 0.155 μB/atom. The crystal system is cubic. Its energy above the lowest structure with this stoichiometry is 0.7962 eV per atom. The calculation puts the formation energy at 8.77 eV per formula unit.

Record 4
VASP calculation (PBE) on GdPaZn2 after structural relaxation.

The structure belongs to space group R-3m (No. 166, hexagonal axes); the cell edges are 3.2873, 3.2873 and 29.4056 Å and the angles 90.00°, 90.00° and 120.00°. The inequivalent atoms are Gd at (0.0000, 0.0000, 0.0000), Pa at (0.0000, 0.0000, 0.5000) and Zn at (0.0000, 0.0000, 0.2503).

For the size of the total moment, the calculation gives 1.874 μB/atom. The crystal system is trigonal. Its energy above the lowest structure with this stoichiometry is 0.1604 eV per atom. The calculation puts the formation energy at 0.20 eV per formula unit.

Record 5
VASP calculation (PBE) on Sr3Tl4Hg2 after structural relaxation.

The structure belongs to space group C2/m (No. 12); the cell edges are 12.066, 5.197 and 9.906 Å and the angles 90.00°, 113.87° and 90.00°. The inequivalent atoms are Sr at (0.000, 0.000, 0.000), Sr at (0.175, 0.500, 0.652), Tl at (0.026, 0.000, 0.360), Tl at (0.247, 0.500, 0.083) and Hg at (0.101, 0.500, 0.270).

For the size of the total moment, the calculation gives 0.000 μB/atom. The crystal system is monoclinic. The calculation puts the formation energy at -3.47 eV per formula unit.

Record 6
VASP calculation (PBE) on Tb8PmDy3 after structural relaxation.

The structure belongs to space group I-42m (No. 121); the cell edges are 8.668, 8.668 and 11.363 Å and the angles 90.00°, 90.00° and 90.00°. The inequivalent atoms are Tb at (0.126, 0.126, 0.252), Tb at (0.248, 0.248, 0.504), Pm at (0.000, 0.000, 0.000), Dy at (0.000, 0.000, 0.500) and Dy at (0.000, 0.500, 0.250).

For the size of the total moment, the calculation gives 0.000 μB/atom. The crystal system is tetragonal. The calculation puts the formation energy at 7.71 eV per formula unit.

Record 7
VASP calculation (PBE) on Li2BSbO4 after structural relaxation.

The structure belongs to space group P2_1/c (No. 14); the cell edges are 8.377, 4.953 and 11.544 Å and the angles 90.00°, 114.31° and 90.00°. The inequivalent atoms are Li at (0.094, 0.155, 0.314), Li at (0.178, 0.163, 0.594), B at (0.150, 0.670, 0.452), Sb at (0.470, 0.549, 0.632), O at (0.021, 0.694, 0.858), O at (0.189, 0.101, 0.958), O at (0.271, 0.682, 0.061) and O at (0.381, 0.158, 0.243).

For the size of the total moment, the calculation gives 0.000 μB/atom. The crystal system is monoclinic. The calculation puts the uncorrected formation energy at -191.4 kJ/mol of atoms.

Record 8
VASP calculation (PBE) on Ac3Pr5Sm3 after structural relaxation.

The structure belongs to space group P-62m (No. 189); the cell edges are 9.8445, 9.8445 and 6.1282 Å and the angles 90.00°, 90.00° and 120.00°. The inequivalent atoms are Ac at (0.0000, 0.4303, 0.0000), Pr at (0.0000, 0.6333, 0.5000), Pr at (0.3333, 0.6667, 0.5000) and Sm at (0.0000, 0.2669, 0.5000).

For the size of the total moment, the calculation gives 0.000 μB/atom. The crystal system is hexagonal. The calculation puts the formation energy at 7.22 eV per formula unit.

Record 9
VASP calculation (PBE) on YNiOs after structural relaxation.

The structure belongs to space group Cm (No. 8); the cell edges are 9.954, 4.177 and 5.231 Å and the angles 90.00°, 91.09° and 90.00°. The inequivalent atoms are Y at (0.000, 0.000, 0.000), Y at (0.072, 0.500, 0.503), Ni at (0.278, 0.000, 0.736), Ni at (0.357, 0.500, 0.516), Os at (0.226, 0.500, 0.013) and Os at (0.280, 0.000, 0.257).

For the size of the total moment, the calculation gives 0.000 μB/atom. The crystal system is monoclinic. Its energy above the lowest structure with this stoichiometry is 0.1622 eV per atom. The calculation puts the formation energy at -0.60 eV per formula unit.

Record 10
VASP calculation (PBE) on SnGeIO2 after structural relaxation.

The structure belongs to space group P4/mmm (No. 123); the cell edges are 4.111, 4.111 and 6.609 Å and the angles 90.00°, 90.00° and 90.00°. The inequivalent atoms are Sn at (0.000, 0.000, 0.000), Ge at (0.500, 0.500, 0.500), I at (0.000, 0.000, 0.500) and O at (0.000, 0.500, 0.000).

For the size of the total moment, the calculation gives 0.162 μB/atom. The crystal system is tetragonal. Its energy above the lowest structure with this stoichiometry is 0.0000 eV per atom. The calculation puts the uncorrected formation energy at -22.6 kJ/mol of atoms.

Record 11
VASP calculation (PBE) on NiBRh after structural relaxation.

The structure belongs to space group I4mm (No. 107); the cell edges are 2.740, 2.740 and 10.357 Å and the angles 90.00°, 90.00° and 90.00°. The inequivalent atoms are Ni at (0.000, 0.000, 0.000), B at (0.000, 0.000, 0.819) and Rh at (0.000, 0.000, 0.242).

For the size of the total moment, the calculation gives 0.034 μB/atom. The crystal system is tetragonal. The calculation puts the formation energy at 1.00 eV per formula unit.

Record 12
VASP calculation (PBE) on AlRe2W after structural relaxation.

The structure belongs to space group R3m (No. 160, hexagonal axes); the cell edges are 2.8027, 2.8027 and 27.0426 Å and the angles 90.00°, 90.00° and 120.00°. The inequivalent atoms are Al at (0.0000, 0.0000, 0.0000), Re at (0.0000, 0.0000, 0.2510), Re at (0.0000, 0.0000, 0.5051) and W at (0.0000, 0.0000, 0.7518).

For the size of the total moment, the calculation gives 0.000 μB/atom. The crystal system is trigonal. The calculation puts the formation energy at 0.10 eV per formula unit.